VASP calculation (PBE+U) on a relaxed structure of PuVCo2O8.

For the total energy, the calculation gives -7.474 eV/atom. The density of states at the Fermi level is 0.3487 states/eV/atom.

Geometry as CIF:
```
data_PuVCo2O8
_chemical_formula_sum 'Pu2 V2 Co4 O16'
_cell_length_a 6.369
_cell_length_b 6.369
_cell_length_c 6.955
_cell_angle_alpha 90.00
_cell_angle_beta 90.00
_cell_angle_gamma 90.00
_symmetry_space_group_name_H-M 'I -4 m 2'
_symmetry_Int_Tables_number 119
_symmetry_space_group_name_Hall 'I -4 -2'
loop_
_atom_site_label
_atom_site_type_symbol
_atom_site_fract_x
_atom_site_fract_y
_atom_site_fract_z
_atom_site_occupancy
Pu1 Pu 0.000 0.000 0.000 1
V1 V 0.000 0.500 0.250 1
Co1 Co 0.000 0.000 0.500 1
Co2 Co 0.000 0.500 0.750 1
O1 O 0.000 0.216 0.315 1
O2 O 0.000 0.307 0.959 1
```